# 1
First-principles (GGA-PBE) data for crystalline SrGaSn at its relaxed geometry, as listed in Alexandria.

CIF file:
```
data_SrGaSn
_cell_length_a 4.620
_cell_length_b 9.469
_cell_length_c 7.996
_cell_angle_alpha 90.00
_cell_angle_beta 90.00
_cell_angle_gamma 90.00
_symmetry_space_group_name_H-M 'I m m 2'
_symmetry_Int_Tables_number 44
loop_
_symmetry_equiv_pos_as_xyz
'x,y,z'
'-x,-y,z'
'-x,y,z'
'x,-y,z'
'x+1/2,y+1/2,z+1/2'
'-x+1/2,-y+1/2,z+1/2'
'-x+1/2,y+1/2,z+1/2'
'x+1/2,-y+1/2,z+1/2'
loop_
_atom_site_label
_atom_site_type_symbol
_atom_site_fract_x
_atom_site_fract_y
_atom_site_fract_z
Sr1 Sr 0.000 0.000 0.000
Sr2 Sr 0.000 0.500 0.028
Ga1 Ga 0.000 0.186 0.341
Sn1 Sn 0.000 0.249 0.675
```

Calculated values
For the energy above the lowest structure with this stoichiometry, the calculation gives 44 meV per atom.

---

# 2
First-principles (GGA-PBE) data for crystalline Ba6MgCu2 at its relaxed geometry, as listed in Alexandria.

CIF file:
```
data_Ba6MgCu2
_cell_length_a 11.055
_cell_length_b 11.661
_cell_length_c 12.136
_cell_angle_alpha 90.00
_cell_angle_beta 90.00
_cell_angle_gamma 90.00
_symmetry_space_group_name_H-M 'I m m m'
_symmetry_Int_Tables_number 71
_symmetry_space_group_name_Hall '-I 2 2'
loop_
_atom_site_label
_atom_site_type_symbol
_atom_site_fract_x
_atom_site_fract_y
_atom_site_fract_z
Ba1 Ba 0.000 0.190 0.242
Ba2 Ba 0.184 0.500 0.171
Ba3 Ba 0.217 0.322 0.500
Mg1 Mg 0.000 0.000 0.000
Mg2 Mg 0.000 0.000 0.500
Cu1 Cu 0.000 0.325 0.000
Cu2 Cu 0.000 0.500 0.396
```

---

no.,spin magnetization (μB per atom),formation enthalpy at 0 K (eV per formula unit)
1,0.000,-1.5
2,0.000,0.0